YMn2Ge2 | SCAN | single point on PBEsol structure

extended XYZ file:
```
5
Lattice="3.880 0.000 0.000 0.000 3.880 0.000 -1.940 -1.940 5.325" Properties=species:S:1:pos:R:3 pbc="T T T"
Y 0.000 0.000 0.000
Ge 0.000 0.000 4.052
Ge 1.940 1.940 1.274
Mn 0.000 1.940 2.663
Mn 1.940 0.000 2.663
```

The value obtained for the calculated total energy is -105.8 eV/cell. As for the space group: I4/mmm, No. 139. The density of states at the Fermi level comes out at 0.499 states/eV/atom. The calculation puts the magnetic moment at 4.5 μB/f.u.